The following is a DFT calculation (GGA-PBE) of an optimized crystal structure of SmAl2Ru2.

Structure (extended XYZ):
```
10
Lattice="-2.0290 2.0290 11.1125 2.0290 -2.0290 11.1125 2.0290 2.0290 -11.1125" Properties=species:S:1:pos:R:3 pbc="T T T"
Sm 0.0000 0.0000 2.8097
Sm 0.0000 0.0000 19.4152
Al 2.0290 0.0000 0.0000
Al 0.0000 0.0000 7.0406
Al 0.0000 2.0290 0.0000
Al 0.0000 0.0000 15.1843
Ru 2.0290 0.0000 5.5562
Ru 0.0000 0.0000 9.6054
Ru 0.0000 0.0000 12.6195
Ru 0.0000 2.0290 5.5562
```

Results
Calculated formation energy: -463 meV per atom
Total moment: 0.090 μB per formula unit
V: 183.0 Å³ per cell